(1)
A plane-wave DFT calculation with GGA-PBE was carried out for a geometry-optimized CaTaSnSb2 structure.

```
CaTaSnSb2
1.0
5.539 0.000 0.000
0.000 5.539 0.000
0.000 0.000 5.139
Ca Ta Sn Sb
1 1 1 2
direct
0.000 0.000 0.000
0.000 0.000 0.500
0.500 0.500 0.500
0.000 0.500 0.000
0.500 0.000 0.000
```

Properties
For the formation energy (no corrections), the calculation gives 1.4089 eV per atom. The space group is No. 123. The value obtained for the spin magnetization is 0.00 μB per cell. The total energy is -3.81 eV/atom.

(2)
A plane-wave DFT calculation with GGA-PBE was carried out for a geometry-optimized CaSnSbTe2 structure.

```
CaSnSbTe2
1.0
5.777 0.000 0.000
0.000 5.777 0.000
0.000 0.000 5.734
Ca Sn Sb Te
1 1 1 2
direct
0.000 0.000 0.000
0.500 0.500 0.500
0.000 0.000 0.500
0.000 0.500 0.000
0.500 0.000 0.000
```

Properties
For the formation energy (no corrections), the calculation gives 0.2273 eV per atom. The space group is No. 123. For the energy above the most stable polymorph in this dataset, the calculation gives 246 meV/atom. The value obtained for the spin magnetization is 0.00 μB per cell. The total energy is -3.05 eV/atom.

(3)
A plane-wave DFT calculation with GGA-PBE was carried out for a geometry-optimized CaSnSbTe2 structure.

```
CaSnSbTe2
1.0
5.759 0.000 0.000
0.000 5.759 0.000
0.000 0.000 5.596
Ca Sn Sb Te
1 1 1 2
direct
0.000 0.000 0.000
0.500 0.500 0.500
0.500 0.500 0.000
0.000 0.500 0.500
0.500 0.000 0.500
```

Properties
For the formation energy (no corrections), the calculation gives -0.0184 eV per atom. The space group is No. 123. For the energy above the most stable polymorph in this dataset, the calculation gives 0 meV/atom. The value obtained for the spin magnetization is 0.00 μB per cell. The total energy is -3.30 eV/atom.

(4)
A plane-wave DFT calculation with GGA-PBE was carried out for a geometry-optimized Ca2ZrSnSb structure.

```
Ca2ZrSnSb
1.0
5.697 0.000 0.000
0.000 5.697 0.000
0.000 0.000 5.823
Ca Zr Sn Sb
2 1 1 1
direct
0.000 0.500 0.000
0.500 0.000 0.000
0.000 0.000 0.500
0.500 0.500 0.500
0.500 0.500 0.000
```

Properties
For the formation energy (no corrections), the calculation gives 0.4912 eV per atom. The space group is No. 123. The value obtained for the spin magnetization is 2.24 μB per cell. The total energy is -3.64 eV/atom.

(5)
A plane-wave DFT calculation with GGA-PBE was carried out for a geometry-optimized Sr2CaSb2 structure.

```
Sr2CaSb2
1.0
8.849 0.000 0.000
0.000 8.849 0.000
0.000 0.000 4.523
Sr Ca Sb
4 2 4
direct
0.139 0.361 0.000
0.361 0.861 0.000
0.639 0.139 0.000
0.861 0.639 0.000
0.000 0.000 0.500
0.500 0.500 0.500
0.168 0.668 0.500
0.332 0.168 0.500
0.668 0.832 0.500
0.832 0.332 0.500
```

Properties
For the formation energy (no corrections), the calculation gives -0.9123 eV per atom. The space group is No. 127. For the energy above the most stable polymorph in this dataset, the calculation gives 22 meV/atom. The value obtained for the spin magnetization is 0.00 μB per cell. The total energy is -3.63 eV/atom.

(6)
A plane-wave DFT calculation with GGA-PBE was carried out for a geometry-optimized Sr4CaSb structure.

```
Sr4CaSb
1.0
0.000 5.165 5.165
5.165 0.000 5.165
5.165 5.165 0.000
Sr Ca Sb
4 1 1
direct
0.376 0.376 0.376
0.376 0.376 0.873
0.376 0.873 0.376
0.873 0.376 0.376
0.000 0.000 0.000
0.750 0.750 0.750
```

Properties
For the formation energy (no corrections), the calculation gives 0.1621 eV per atom. The space group is No. 216. The value obtained for the spin magnetization is 0.00 μB per cell. The total energy is -1.98 eV/atom.

(7)
A plane-wave DFT calculation with GGA-PBE was carried out for a geometry-optimized Sr3Ca2Sb4 structure.

```
Sr3Ca2Sb4
1.0
8.644 -2.627 0.000
8.644 2.627 0.000
-2.035 0.000 6.930
Sr Ca Sb
3 2 4
direct
0.000 0.000 0.000
0.135 0.135 0.576
0.865 0.865 0.424
0.337 0.337 0.961
0.663 0.663 0.039
0.224 0.224 0.231
0.495 0.495 0.702
0.505 0.505 0.298
0.776 0.776 0.769
```

Properties
For the formation energy (no corrections), the calculation gives -0.9229 eV per atom. The space group is No. 12. The value obtained for the spin magnetization is 0.00 μB per cell. The total energy is -3.76 eV/atom.

(8)
A plane-wave DFT calculation with GGA-PBE was carried out for a geometry-optimized Sr2CaSb2 structure.

```
Sr2CaSb2
1.0
-2.573 2.573 7.157
2.573 -2.573 7.157
2.573 2.573 -7.157
Sr Ca Sb
2 1 2
direct
0.250 0.750 0.500
0.750 0.250 0.500
0.000 0.000 0.000
0.393 0.393 0.000
0.607 0.607 0.000
```

Properties
For the formation energy (no corrections), the calculation gives -0.5755 eV per atom. The space group is No. 139. For the energy above the most stable polymorph in this dataset, the calculation gives 359 meV/atom. The value obtained for the spin magnetization is 0.00 μB per cell. The total energy is -3.30 eV/atom.

(9)
A plane-wave DFT calculation with GGA-PBE was carried out for a geometry-optimized Sr3CaSb structure.

```
Sr3CaSb
1.0
6.316 0.000 0.000
0.000 6.316 0.000
0.000 0.000 6.316
Sr Ca Sb
3 1 1
direct
0.000 0.000 0.500
0.000 0.500 0.000
0.500 0.000 0.000
0.000 0.000 0.000
0.500 0.500 0.500
```

Properties
For the formation energy (no corrections), the calculation gives 0.6268 eV per atom. The space group is No. 221. For the energy above the most stable polymorph in this dataset, the calculation gives 952 meV/atom. The value obtained for the spin magnetization is 2.79 μB per cell. The total energy is -1.61 eV/atom.

(10)
A plane-wave DFT calculation with GGA-PBE was carried out for a geometry-optimized SrCaSb structure.

```
SrCaSb
1.0
-2.088 2.088 6.292
2.088 -2.088 6.292
2.088 2.088 -6.292
Sr Ca Sb
1 1 1
direct
0.000 0.000 0.000
0.737 0.737 0.000
0.350 0.350 0.000
```

Properties
For the formation energy (no corrections), the calculation gives -0.6213 eV per atom. The space group is No. 107. The value obtained for the spin magnetization is 0.00 μB per cell. The total energy is -3.22 eV/atom.

(11)
A plane-wave DFT calculation with GGA-PBE was carried out for a geometry-optimized SrCaSb structure.

```
SrCaSb
1.0
11.090 -2.519 0.000
11.090 2.519 0.000
-1.728 0.000 9.664
Sr Ca Sb
4 4 4
direct
0.064 0.064 0.306
0.396 0.396 0.193
0.604 0.604 0.807
0.936 0.936 0.694
0.247 0.247 0.372
0.259 0.259 0.880
0.741 0.741 0.120
0.753 0.753 0.628
0.157 0.157 0.070
0.165 0.165 0.604
0.835 0.835 0.396
0.843 0.843 0.930
```

Properties
For the formation energy (no corrections), the calculation gives -0.6637 eV per atom. The space group is No. 12. The value obtained for the spin magnetization is 0.00 μB per cell. The total energy is -3.27 eV/atom.

(12)
A plane-wave DFT calculation with GGA-PBE was carried out for a geometry-optimized Sr3CaSb2 structure.

```
Sr3CaSb2
1.0
-3.491 8.951 3.482
3.491 -8.951 3.482
3.491 8.951 -3.482
Sr Ca Sb
6 2 4
direct
0.178 0.745 0.923
0.250 0.250 0.000
0.322 0.245 0.567
0.678 0.755 0.433
0.750 0.750 0.000
0.822 0.255 0.077
0.250 0.750 0.500
0.750 0.250 0.500
0.131 0.256 0.388
0.369 0.756 0.125
0.631 0.244 0.875
0.869 0.744 0.612
```

Properties
For the formation energy (no corrections), the calculation gives -0.8220 eV per atom. The space group is No. 72. For the energy above the most stable polymorph in this dataset, the calculation gives 67 meV/atom. The value obtained for the spin magnetization is 4.00 μB per cell. The total energy is -3.37 eV/atom.